# 1
LiNbPt3: optimized geometry, PBE.

Cell: 5.0402 5.3802 7.1949 Å, 111.96 89.99 90.03°
Closest atoms and distances in Å follow each position.
Fractional positions:
Pt 0.7499 0.9105 0.3125  1 Nb 2.52, 4 Pt 2.64-2.77
Pt 0.7501 0.4020 0.3125  1 Nb 2.52, 4 Pt 2.64-2.77
Pt 0.0000 0.0000 0.0000  6 Pt 2.52-2.77, 2 Nb 2.78
Pt 0.5000 0.0000 0.0000  6 Pt 2.52-2.77, 2 Nb 2.78
Pt 0.2501 0.0895 0.6875  1 Nb 2.52, 4 Pt 2.64-2.77
Pt 0.2499 0.5980 0.6875  1 Nb 2.52, 4 Pt 2.64-2.77
Li 0.2500 0.5446 0.0893  2 Li 2.79, 6 Pt 3.01-3.03
Li 0.7500 0.4554 0.9107  2 Li 2.79, 6 Pt 3.01-3.03
Nb 0.2500 0.1853 0.3705  4 Pt 2.52-2.78
Nb 0.7500 0.8147 0.6295  4 Pt 2.52-2.78

Calculated values
Its density of states at the Fermi level is 0.66 states/eV per atom. For the energy, the calculation gives -6.36 eV/atom. Its space-group type is Cmcm. Its total magnetization is 0.0000 μB per atom. The calculation puts the formation energy at -0.3411 eV/atom.



# 2
Cd2In: optimized geometry, PBE.

Cell: 3.2418 3.2418 7.9461 Å, 90.00 90.00 120.00°
Closest atoms and distances in Å follow each position.
Fractional positions:
Cd 0.3333 0.6667 0.6595  9 Cd 3.15-3.24, 3 In 3.29
Cd 0.6667 0.3333 0.3405  9 Cd 3.15-3.24, 3 In 3.29
In 0.0000 0.0000 0.0000  6 In 3.24, 6 Cd 3.29

Calculated values
Its density of states at the Fermi level is 0.18 states/eV per atom. For the energy, the calculation gives -1.50 eV/atom. Its space-group type is P-3m1. Its total magnetization is 0.0000 μB per atom. The calculation puts the formation energy at 0.0198 eV/atom.



# 3
BaTl3O3: optimized geometry, PBE.

Cell: 6.4219 6.4219 9.8712 Å, 71.02 71.02 60.00°
Closest atoms and distances in Å follow each position.
Fractional positions:
O 0.4300 0.7018 0.8052  3 Tl 2.41-2.54
O 0.7018 0.0630 0.8052  3 Tl 2.41-2.54
O 0.2982 0.9370 0.1948  3 Tl 2.41-2.54
O 0.5700 0.2982 0.1948  3 Tl 2.41-2.54
O 0.9370 0.5700 0.1948  3 Tl 2.41-2.54
O 0.0630 0.4300 0.8052  3 Tl 2.41-2.54
Ba 0.6663 0.6663 0.0011  6 O 2.71-2.72
Ba 0.3337 0.3337 0.9989  6 O 2.71-2.72
Tl 0.2042 0.5735 0.3326  3 O 2.41-2.54
Tl 0.8897 0.2042 0.3326  3 O 2.41-2.54
Tl 0.7958 0.4265 0.6674  3 O 2.41-2.54
Tl 0.1103 0.7958 0.6674  3 O 2.41-2.54
Tl 0.4265 0.1103 0.6674  3 O 2.41-2.54
Tl 0.5735 0.8897 0.3326  3 O 2.41-2.54

Calculated values
Its density of states at the Fermi level is 0.98 states/eV per atom. For the energy, the calculation gives -4.48 eV/atom. For the raw formation energy, the calculation gives -1.065 eV/atom. Its space-group type is R-3. Its total magnetization is 0.0004 μB per atom.



# 4
PaS4: optimized geometry, PBE.

Cell: 5.2319 5.2319 5.2319 Å, 90.00 90.00 90.00°
Closest atoms and distances in Å follow each position.
Fractional positions:
S 0.5000 0.5000 0.0000  2 Pa 2.62
S 0.0000 0.0000 0.0000  12 S 3.70
S 0.5000 0.0000 0.5000  2 Pa 2.62
S 0.0000 0.5000 0.5000  2 Pa 2.62
Pa 0.5000 0.5000 0.5000  6 S 2.62

Calculated values
Its density of states at the Fermi level is 0.95 states/eV per atom. For the energy, the calculation gives -5.50 eV/atom. For the raw formation energy, the calculation gives -0.294 eV/atom. Its space-group type is Pm-3m. Its total magnetization is 0.5680 μB per atom.



# 5
Be2TlF: optimized geometry, PBE.

Cell: 4.3462 4.3462 4.3462 Å, 60.00 60.00 60.00°
Closest atoms and distances in Å follow each position.
Fractional positions:
F 0.0000 0.0000 0.0000  8 Be 2.66
Tl 0.5000 0.5000 0.5000  8 Be 2.66
Be 0.7500 0.7500 0.7500  4 Tl 2.66, 4 F 2.66
Be 0.2500 0.2500 0.2500  4 Tl 2.66, 4 F 2.66

Calculated values
Its density of states at the Fermi level is 0.65 states/eV per atom. For the energy, the calculation gives -2.59 eV/atom. For the raw formation energy, the calculation gives 0.330 eV/atom. Its space-group type is Fm-3m. Its total magnetization is 0.0000 μB per atom.



# 6
Y2OsCl: optimized geometry, PBE.

Cell: 3.3929 3.4663 8.0738 Å, 89.93 90.00 90.00°
Closest atoms and distances in Å follow each position.
Fractional positions:
Y 0.0000 0.2507 0.5437  2 Cl 2.92, 4 Os 2.94
Y 0.0000 0.2493 0.9563  2 Cl 2.92, 4 Os 2.94
Os 0.5000 0.7500 0.7500  8 Y 2.94
Cl 0.5000 0.2500 0.2500  4 Y 2.92

Calculated values
Its density of states at the Fermi level is 0.59 states/eV per atom. For the energy, the calculation gives -7.38 eV/atom. For the raw formation energy, the calculation gives -0.880 eV/atom. Its space-group type is P2/m. Its total magnetization is 0.0000 μB per atom.



> What is the formula in the third record?

BaTl3O3